VASP calculation (PBE-GGA) on a relaxed structure of Ho12Sc7In. Values from VASP.

Output
E (eV/atom): -5.049
Energy of formation (eV per atom): 0.051
Total moment (μB/f.u.): 0.0

Geometry as Quantum ESPRESSO input:
```
&SYSTEM
  ibrav = 0, nat = 20, ntyp = 3
/
ATOMIC_SPECIES
Ho 164.93 Ho.upf
Sc 44.96 Sc.upf
In 114.82 In.upf
ATOMIC_POSITIONS crystal
Ho 0.762 0.238 0.505
Ho 0.762 0.495 0.238
Ho 0.348 0.080 0.325
Ho 0.920 0.675 0.652
Ho 0.495 0.238 0.762
Ho 0.675 0.652 0.920
Ho 0.325 0.348 0.080
Ho 0.505 0.762 0.238
Ho 0.080 0.325 0.348
Ho 0.652 0.920 0.675
Ho 0.238 0.505 0.762
Ho 0.238 0.762 0.495
Sc 0.093 0.682 0.089
Sc 0.318 0.911 0.907
Sc 0.911 0.907 0.318
Sc 0.500 0.500 0.500
Sc 0.089 0.093 0.682
Sc 0.682 0.089 0.093
Sc 0.907 0.318 0.911
In 0.000 0.000 0.000
CELL_PARAMETERS angstrom
8.475 0.301 0.452
-2.068 8.225 0.452
-2.068 -2.751 7.764
```

VASP calculation (PBE-GGA) on a relaxed structure of La2AsPt. Values from VASP.

Output
E (eV/atom): -6.394
Energy of formation (eV per atom): -1.257
Total moment (μB/f.u.): 0.0

Geometry as Quantum ESPRESSO input:
```
&SYSTEM
  ibrav = 0, nat = 4, ntyp = 3
/
ATOMIC_SPECIES
As 74.92 As.upf
Pt 195.08 Pt.upf
La 138.91 La.upf
ATOMIC_POSITIONS crystal
As 0.500 0.875 0.875
Pt 0.000 0.375 0.375
La 0.000 0.875 0.875
La 0.500 0.375 0.375
CELL_PARAMETERS angstrom
6.142 0.000 0.000
0.000 4.322 -0.002
0.000 0.000 4.323
```

The lowest E belongs to which entry?
La2AsPt